Record 1
Material: CsSrP2O
Method: DFT, PBE-GGA
State: relaxed

Cell: 5.594 5.594 4.530 Å, 90.00 90.00 90.00°
Fractional positions:
1 Cs 0.000 0.000 0.000
2 Sr 0.500 0.500 0.500
3 P 0.000 0.500 0.000
4 P 0.500 0.000 0.000
5 O 0.000 0.000 0.500

Summary:
Fermi-level density of states in states/eV per cell: 4.376
Electronic total energy in eV per cell: -15.317
SG: P4/mmm (123)
Density in g/cm3: 3.5

=====

Record 2
Material: CsHfHg2I8
Method: DFT, PBE-GGA
State: relaxed

Cell: 7.625 8.297 10.084 Å, 70.35 83.88 88.45°
Fractional positions:
1 Cs 0.000 0.000 0.000
2 Hf 0.000 0.500 0.500
3 Hg 0.470 0.533 0.798
4 Hg 0.530 0.467 0.202
5 I 0.080 0.501 0.774
6 I 0.175 0.817 0.371
7 I 0.319 0.317 0.472
8 I 0.477 0.780 0.960
9 I 0.523 0.220 0.040
10 I 0.681 0.683 0.528
11 I 0.825 0.183 0.629
12 I 0.920 0.499 0.226

Summary:
Fermi-level density of states in states/eV per cell: 4.931
Electronic total energy in eV per cell: -32.043
SG: P-1 (2)
Density in g/cm3: 4.8

=====

Record 3
Material: Zr2GaSn
Method: DFT, PBE-GGA
State: relaxed

Cell: 9.749 9.749 9.749 Å, 19.09 19.09 19.09°
Fractional positions:
1 Zr 0.246 0.246 0.246
2 Zr 0.754 0.754 0.754
3 Ga 0.500 0.500 0.500
4 Sn 0.000 0.000 0.000

Summary:
Fermi-level density of states in states/eV per cell: 3.697
Electronic total energy in eV per cell: -25.332
DFT formation energy in meV per atom: -301.5
SG: R-3m (166)
Density in g/cm3: 7.1